VASP calculation (PBE-GGA) on crystalline Mg4Zn8Cu at its relaxed geometry.

The distance to the lowest polymorph of the same formula is 0 meV/atom. As for the calculated total energy: -1.605 eV per atom. For the energy relative to the elements, the calculation gives -2 kJ/mol of atoms. As for the total moment: 0.000 Bohr magnetons per cell.

The structure belongs to space group I4/m (No. 87); the cell edges are 11.947, 11.947 and 3.175 Å and the angles 90.00°, 90.00° and 90.00°. The distinct sites, in fractional coordinates, are Mg at (0.050, 0.818, 0.000), Zn at (0.013, 0.371, 0.500), Zn at (0.177, 0.296, 0.000) and Cu at (0.000, 0.000, 0.500).



VASP calculation (PBE-GGA) on crystalline MgZn2Cu at its relaxed geometry.

As for the calculated total energy: -1.994 eV per atom. For the energy relative to the elements, the calculation gives 6 kJ/mol of atoms. As for the total moment: 0.000 Bohr magnetons per cell.

The structure belongs to space group Cmcm (No. 63); the cell edges are 6.742, 8.813 and 4.792 Å and the angles 90.00°, 90.00° and 90.00°. The distinct sites, in fractional coordinates, are Mg at (0.000, 0.218, 0.250), Zn at (0.185, 0.075, 0.750) and Cu at (0.000, 0.500, 0.000).



VASP calculation (PBE-GGA) on crystalline MgZn6Cu4 at its relaxed geometry.

As for the calculated total energy: -2.281 eV per atom. For the energy relative to the elements, the calculation gives 5 kJ/mol of atoms. As for the total moment: 0.000 Bohr magnetons per cell.

The structure belongs to space group I-42m (No. 121); the cell edges are 6.305, 6.305 and 9.141 Å and the angles 90.00°, 90.00° and 90.00°. The distinct sites, in fractional coordinates, are Mg at (0.000, 0.000, 0.000), Zn at (0.000, 0.500, 0.000), Zn at (0.182, 0.182, 0.710) and Cu at (0.169, 0.169, 0.430).



VASP calculation (PBE-GGA) on crystalline MgZn2Cu2 at its relaxed geometry.

The distance to the lowest polymorph of the same formula is 121 meV/atom. As for the calculated total energy: -2.439 eV per atom. For the energy relative to the elements, the calculation gives 3 kJ/mol of atoms. As for the total moment: 0.000 Bohr magnetons per cell.

The structure belongs to space group Cmcm (No. 63); the cell edges are 7.953, 5.122 and 8.039 Å and the angles 90.00°, 90.00° and 90.00°. The distinct sites, in fractional coordinates, are Mg at (0.000, 0.244, 0.250), Zn at (0.000, 0.257, 0.595) and Cu at (0.247, 0.000, 0.000).



VASP calculation (PBE-GGA) on crystalline MgZn2Cu2 at its relaxed geometry.

The distance to the lowest polymorph of the same formula is 8 meV/atom. As for the calculated total energy: -2.552 eV per atom. For the energy relative to the elements, the calculation gives -8 kJ/mol of atoms. As for the total moment: 0.000 Bohr magnetons per cell.

The structure belongs to space group P4/mbm (No. 127); the cell edges are 7.195, 7.195 and 2.822 Å and the angles 90.00°, 90.00° and 90.00°. The distinct sites, in fractional coordinates, are Mg at (0.000, 0.000, 0.000), Zn at (0.127, 0.373, 0.000) and Cu at (0.171, 0.671, 0.500).



VASP calculation (PBE-GGA) on crystalline MgZn2Cu8 at its relaxed geometry.

As for the calculated total energy: -3.363 eV per atom. For the energy relative to the elements, the calculation gives -1 kJ/mol of atoms. As for the total moment: 0.000 Bohr magnetons per cell.

The structure belongs to space group Immm (No. 71); the cell edges are 2.739, 8.503 and 12.548 Å and the angles 90.00°, 90.00° and 90.00°. The distinct sites, in fractional coordinates, are Mg at (0.000, 0.000, 0.000), Zn at (0.000, 0.000, 0.365), Cu at (0.000, 0.225, 0.500), Cu at (0.000, 0.248, 0.166) and Cu at (0.000, 0.500, 0.310).



VASP calculation (PBE-GGA) on crystalline MgZn2Cu2 at its relaxed geometry.

The distance to the lowest polymorph of the same formula is 17 meV/atom. As for the calculated total energy: -2.543 eV per atom. For the energy relative to the elements, the calculation gives -7 kJ/mol of atoms. As for the total moment: 0.000 Bohr magnetons per cell.

The structure belongs to space group Cmc2_1 (No. 36); the cell edges are 4.191, 12.890 and 5.345 Å and the angles 90.00°, 90.00° and 90.00°. The distinct sites, in fractional coordinates, are Mg at (0.000, 0.096, 0.000), Zn at (0.000, 0.122, 0.495), Zn at (0.000, 0.306, 0.240), Cu at (0.000, 0.303, 0.744) and Cu at (0.000, 0.497, 0.759).



VASP calculation (PBE-GGA) on crystalline Mg2Zn6Cu at its relaxed geometry.

As for the calculated total energy: -1.720 eV per atom. For the energy relative to the elements, the calculation gives -6 kJ/mol of atoms. As for the total moment: 0.000 Bohr magnetons per cell.

The structure belongs to space group P-3m1 (No. 164); the cell edges are 5.3179, 5.3179 and 6.0413 Å and the angles 90.00°, 90.00° and 120.00°. The distinct sites, in fractional coordinates, are Mg at (0.3333, 0.6667, 0.3879), Zn at (0.1712, 0.3423, 0.8239) and Cu at (0.0000, 0.0000, 0.5000).



Which formula does entry 2 have? MgZn2Cu